(1)
La12Ho7Tm, relaxed, DFT PBE-GGA; energy of formation = 0.20 eV per atom; energy above the most stable polymorph in this dataset = 0.7 kJ/mol of atoms
1.0
-2.401 -1.818 8.326
-1.955 -8.320 -2.312
8.267 -2.538 1.898
La Ho Tm
12 7 1
Cartesian
-1.108 -4.048 5.745
5.060 -6.386 5.036
-1.203 -9.085 4.512
-1.149 -6.291 2.875
5.019 -8.629 2.167
1.674 -9.152 2.279
0.180 -6.871 6.671
0.539 -7.094 0.050
3.731 -5.805 1.241
5.114 -3.591 3.400
2.237 -3.524 5.633
3.372 -5.583 7.862
1.955 -6.338 3.956
4.490 -9.150 7.501
3.771 -11.145 4.660
-0.579 -3.527 0.411
1.226 -10.451 7.029
2.685 -2.225 0.883
0.140 -1.531 3.252
0.000 0.000 0.000

(2)
LaHo4Tm4, relaxed, DFT PBE-GGA; energy of formation = 0.04 eV per atom; energy above the most stable polymorph in this dataset = 0.8 kJ/mol of atoms
1.0
8.901 -3.081 -1.547
-4.162 7.536 -0.038
-1.684 -0.218 10.838
Ho Tm La
8 8 2
Cartesian
1.448 1.834 0.722
1.789 -1.036 8.003
0.577 1.007 5.464
4.530 0.571 0.249
-1.476 3.666 9.004
1.607 2.403 8.531
2.478 3.230 3.789
1.266 5.272 1.251
6.379 -0.852 4.349
-2.076 5.614 0.164
3.104 -0.445 3.256
4.080 0.881 6.346
5.131 -1.378 9.089
-0.050 4.682 5.997
-1.025 3.355 2.908
-3.324 5.089 4.905
4.330 3.942 0.833
-1.276 0.295 8.421

(3)
La10Ho4Tm, relaxed, DFT PBE-GGA; energy of formation = 0.63 eV per atom
1.0
-5.986 -4.494 2.643
-2.699 -6.996 -6.087
2.782 -7.736 5.069
Ho La Tm
4 10 1
Cartesian
-2.462 -8.736 3.412
-3.441 -10.490 -1.788
-1.722 -5.242 -0.893
-4.180 -13.983 2.518
-2.736 -5.491 2.362
-6.701 -9.499 -1.511
0.798 -9.727 3.136
-2.202 -11.979 4.460
-4.448 -10.736 1.473
-6.167 -15.986 0.587
-3.701 -7.246 -2.836
-3.167 -13.734 -0.738
-1.455 -8.489 0.151
0.264 -3.239 1.037
0.000 0.000 0.000

(4)
La4HoTm3, relaxed, DFT PBE-GGA; energy of formation = 0.03 eV per atom
1.0
6.355 0.000 0.000
0.000 7.305 0.000
0.000 0.000 11.617
La Tm Ho
8 6 2
Cartesian
4.165 0.944 0.000
4.093 0.932 5.809
6.220 0.931 2.950
3.042 6.374 2.858
6.220 0.931 8.667
3.042 6.374 8.759
0.915 6.373 0.000
0.988 6.361 5.809
0.950 2.800 5.809
3.041 2.785 2.907
6.219 4.519 8.716
6.219 4.519 2.901
4.128 4.505 0.000
3.041 2.785 8.710
4.141 4.535 5.809
0.964 2.770 0.000

Here are the calculated DFT total energy numbers, same order: -4.59 -4.53 -4.17 -4.68 (eV per atom).